# Sr2LiCdPt PBE-GGA relaxed
data_Sr2LiCdPt
_symmetry_space_group_name_H-M 'P 4/m m m'
_symmetry_Int_Tables_number 123
_symmetry_space_group_name_Hall '-P 4 2'
_cell_length_a 5.854
_cell_length_b 5.854
_cell_length_c 5.306
_cell_angle_alpha 90.00
_cell_angle_beta 90.00
_cell_angle_gamma 90.00
loop_
_atom_site_label
_atom_site_type_symbol
_atom_site_fract_x
_atom_site_fract_y
_atom_site_fract_z
Sr1 Sr 0.000 0.500 0.000
Li1 Li 0.000 0.000 0.500
Cd1 Cd 0.500 0.500 0.500
Pt1 Pt 0.500 0.500 0.000
# uncorrected energy	-13.9	eV for the cell shown
# E above lowest polymorph	37	meV/atom

=====

# Sr2LiCd6Pt PBE-GGA relaxed
data_Sr2LiCd6Pt
_symmetry_space_group_name_H-M 'C 1 2/m 1'
_symmetry_Int_Tables_number 12
_symmetry_space_group_name_Hall '-C 2y'
_cell_length_a 10.239
_cell_length_b 10.296
_cell_length_c 7.010
_cell_angle_alpha 90.00
_cell_angle_beta 133.08
_cell_angle_gamma 90.00
loop_
_atom_site_label
_atom_site_type_symbol
_atom_site_fract_x
_atom_site_fract_y
_atom_site_fract_z
Sr1 Sr 0.000 0.204 0.000
Li1 Li 0.000 0.500 0.500
Cd1 Cd 0.000 0.259 0.500
Cd2 Cd 0.204 0.500 0.421
Cd3 Cd 0.205 0.500 0.987
Pt1 Pt 0.000 0.000 0.500
# uncorrected energy	-38.1	eV for the cell shown

=====

# Sr2LiCdPt PBE-GGA relaxed
data_Sr2LiCdPt
_symmetry_space_group_name_H-M 'P 4/m m m'
_symmetry_Int_Tables_number 123
_symmetry_space_group_name_Hall '-P 4 2'
_cell_length_a 5.855
_cell_length_b 5.855
_cell_length_c 4.861
_cell_angle_alpha 90.00
_cell_angle_beta 90.00
_cell_angle_gamma 90.00
loop_
_atom_site_label
_atom_site_type_symbol
_atom_site_fract_x
_atom_site_fract_y
_atom_site_fract_z
Sr1 Sr 0.000 0.500 0.000
Li1 Li 0.000 0.000 0.500
Cd1 Cd 0.500 0.500 0.500
Pt1 Pt 0.000 0.000 0.000
# uncorrected energy	-14.1	eV for the cell shown
# E above lowest polymorph	0	meV/atom

=====

# SrLi2CdPt PBE-GGA relaxed
data_SrLi2CdPt
_symmetry_space_group_name_H-M 'P 4/m m m'
_symmetry_Int_Tables_number 123
_symmetry_space_group_name_Hall '-P 4 2'
_cell_length_a 4.879
_cell_length_b 4.879
_cell_length_c 5.287
_cell_angle_alpha 90.00
_cell_angle_beta 90.00
_cell_angle_gamma 90.00
loop_
_atom_site_label
_atom_site_type_symbol
_atom_site_fract_x
_atom_site_fract_y
_atom_site_fract_z
Sr1 Sr 0.000 0.000 0.000
Li1 Li 0.000 0.500 0.500
Cd1 Cd 0.500 0.500 0.000
Pt1 Pt 0.500 0.500 0.500
# uncorrected energy	-14.0	eV for the cell shown